Record 1
Compound: AcErRuRh
Source: the Alexandria database
Functional: PBE
Structure: relaxed

```
AcErRuRh
1.0
7.081 0.000 0.000
0.000 7.081 0.000
0.000 0.000 7.081
Ac Er Ru Rh
4 4 4 4
Cartesian
0.000 0.000 0.000
0.000 3.540 3.540
3.540 0.000 3.540
3.540 3.540 0.000
0.000 0.000 3.540
0.000 3.540 0.000
3.540 0.000 0.000
3.540 3.540 3.540
1.770 1.770 1.770
1.770 5.310 5.310
5.310 1.770 5.310
5.310 5.310 1.770
1.770 1.770 5.310
1.770 5.310 1.770
5.310 1.770 1.770
5.310 5.310 5.310
```

## Properties
**ΔE_f**: -0.376 eV/atom

=====

Record 2
Compound: AcErSiRh
Source: the Alexandria database
Functional: PBE
Structure: relaxed

```
AcErSiRh
1.0
7.261 0.000 0.000
0.000 7.261 0.000
0.000 0.000 7.261
Ac Er Si Rh
4 4 4 4
Cartesian
0.000 0.000 0.000
0.000 3.631 3.631
3.631 0.000 3.631
3.631 3.631 0.000
0.000 0.000 3.631
0.000 3.631 0.000
3.631 0.000 0.000
3.631 3.631 3.631
1.815 1.815 1.815
1.815 5.446 5.446
5.446 1.815 5.446
5.446 5.446 1.815
1.815 1.815 5.446
1.815 5.446 1.815
5.446 1.815 1.815
5.446 5.446 5.446
```

## Properties
**E_form (uncorrected)**: -0.46 eV/atom

=====

Record 3
Compound: Ac2ErSi3Rh12
Source: the Alexandria database
Functional: PBE
Structure: relaxed

```
Ac2ErSi3Rh12
1.0
4.599 2.655 4.288
-4.599 2.655 4.288
0.000 -5.311 4.288
Ac Er Si Rh
2 1 3 12
Cartesian
0.000 0.000 1.734
0.000 0.000 11.129
0.000 0.000 6.432
-2.300 -1.328 4.288
-2.300 1.328 8.576
0.000 2.655 4.288
0.000 -2.415 3.618
-2.091 1.207 3.618
-2.311 -1.334 6.593
0.000 -2.669 6.271
-2.311 1.334 6.271
-2.091 -1.207 9.245
2.091 1.207 3.618
2.311 -1.334 6.593
0.000 2.669 6.593
2.311 1.334 6.271
2.091 -1.207 9.245
0.000 2.415 9.245
```

## Properties
**E_form (uncorrected)**: -0.31 eV/atom

=====

no.,mass density (g cm⁻³),E (eV per atom)
1,11.2,-6.701
2,9.1,-5.821
3,10.3,-6.828